This record from the Alexandria database describes an optimized crystal structure of Mn2InO5. The functional is PBE+U.

The structure in POSCAR format:
```
Mn2InO5
1.0
5.7312 0.0000 0.0000
0.0000 7.8142 0.0000
0.0000 0.0000 8.0935
Mn In O
8 4 20
Cartesian
1.4659 0.0000 4.0467 Mn
4.2652 0.0000 4.0467 Mn
2.8656 0.8305 6.8155 Mn
2.8656 3.0766 2.7688 Mn
1.4659 3.9071 0.0000 Mn
4.2652 3.9071 0.0000 Mn
2.8656 4.7376 5.3247 Mn
2.8656 6.9837 1.2780 Mn
0.0000 1.2205 1.1556 In
0.0000 2.6866 5.2023 In
0.0000 5.1276 2.8911 In
0.0000 6.5937 6.9379 In
1.5093 0.0000 0.0000 O
4.2219 0.0000 0.0000 O
1.4328 1.1116 5.5884 O
4.2983 1.1116 5.5884 O
0.0000 1.1029 3.3518 O
2.8656 0.9977 3.2218 O
2.8656 2.9094 7.2686 O
0.0000 2.8042 7.3985 O
1.4328 2.7954 1.5417 O
4.2983 2.7954 1.5417 O
4.2219 3.9071 4.0467 O
1.5093 3.9071 4.0467 O
1.4328 5.0187 6.5517 O
4.2983 5.0187 6.5517 O
0.0000 5.0100 0.6950 O
2.8656 4.9048 0.8249 O
2.8656 6.8165 4.8716 O
0.0000 6.7113 4.7417 O
1.4328 6.7025 2.5050 O
4.2983 6.7025 2.5050 O
```

- Crystal system: orthorhombic
- Space group: Pbam
- Calculated total energy: -6.79 eV per atom